*i*
The following is a PBE calculation of a relaxed MnCo3Ge crystal, from Alexandria via LeMat-Bulk.

a b c (Å): 7.065 5.215 6.675
angles (deg): 90.00 90.00 90.00
Space group Pnma (No. 62)
Asymmetric unit:
Mn (0.000, 0.000, 0.000) (multiplicity 4)
Co (0.130, 0.003, 0.371) (multiplicity 8)
Co (0.157, 0.250, 0.687) (multiplicity 4)
Ge (0.163, 0.750, 0.668) (multiplicity 4)

*ii*
The following is a PBE calculation of a relaxed MnCo3Ge crystal, from Alexandria via LeMat-Bulk.

a b c (Å): 4.254 4.254 4.254
angles (deg): 90.00 90.00 90.00
Space group Pm-3m (No. 221)
Asymmetric unit:
Mn (0.000, 0.000, 0.000) (multiplicity 1)
Co (0.000, 0.500, 0.500) (multiplicity 3)
Ge (0.500, 0.500, 0.500) (multiplicity 1)

Ranking the structures above from most stable to least stable yields *i*, *ii*.